Record 1
# MgCdMo2

MgCdMo2 after structural relaxation (PBE, the Alexandria database).

Properties
Calculated formation energy in meV per atom: 323.7
Total moment in μB per formula unit: 0.0
Offset from the most stable computed form in meV/atom: 127
Raw total energy in eV per cell: -22.877

Lattice parameters (Å, degrees): 5.385 5.385 5.385 143.94 126.60 66.14
Fractional positions:
Mg: 0.000 0.000 0.000
Cd: 0.740 0.240 0.500
Mo: 0.267 0.767 0.500
Mo: 0.466 0.466 0.000



Record 2
# MgCdMo2

MgCdMo2 after structural relaxation (PBE, the Alexandria database).

Properties
Calculated formation energy in meV per atom: 351.7
Total moment in μB per formula unit: 0.0
Offset from the most stable computed form in meV/atom: 155
Raw total energy in eV per cell: -22.765

Lattice parameters (Å, degrees): 10.106 10.106 10.106 16.40 16.40 16.40
Fractional positions:
Mg: 0.000 0.000 0.000
Cd: 0.242 0.242 0.242
Mo: 0.490 0.490 0.490
Mo: 0.747 0.747 0.747



Record 3
# MgCdMo2

MgCdMo2 after structural relaxation (PBE, the Alexandria database).

Properties
Calculated formation energy in meV per atom: 826.5
Total moment in μB per formula unit: 0.0
Offset from the most stable computed form in meV/atom: 629
Raw total energy in eV per cell: -20.866

Lattice parameters (Å, degrees): 4.619 4.619 4.619 60.00 60.00 60.00
Fractional positions:
Mg: 0.000 0.000 0.000
Cd: 0.500 0.500 0.500
Mo: 0.250 0.250 0.250
Mo: 0.750 0.750 0.750



Record 4
# MgCdMo2

MgCdMo2 after structural relaxation (PBE, the Alexandria database).

Properties
Calculated formation energy in meV per atom: 198.1
Total moment in μB per formula unit: 0.0
Offset from the most stable computed form in meV/atom: 1
Raw total energy in eV per cell: -23.379

Lattice parameters (Å, degrees): 2.849 2.849 9.514 90.00 90.00 110.56
Fractional positions:
Mg: 0.000 0.000 0.000
Cd: 0.500 0.500 0.724
Mo: 0.000 0.000 0.461
Mo: 0.500 0.500 0.248



What did the third record say?
# MgCdMo2

MgCdMo2 after structural relaxation (PBE, the Alexandria database).

Properties
Calculated formation energy in meV per atom: 826.5
Total moment in μB per formula unit: 0.0
Offset from the most stable computed form in meV/atom: 629
Raw total energy in eV per cell: -20.866

Lattice parameters (Å, degrees): 4.619 4.619 4.619 60.00 60.00 60.00
Fractional positions:
Mg: 0.000 0.000 0.000
Cd: 0.500 0.500 0.500
Mo: 0.250 0.250 0.250
Mo: 0.750 0.750 0.750



Look up the total moment of the first one.
0.0 μB per formula unit



Look up the offset from the most stable computed form of the first one.
127 meV/atom



Which of these has the highest calculated formation energy?
number 3